SrTlS | PBE | optimized geometry

Magnetization, μB/cell: 0.00
Formation energy without anion corrections, meV/atom: -1143
DOS(E_F), states/eV per cell: 5.90

a b c (Å): 5.1618 5.1618 25.4971
angles (deg): 90.00 90.00 120.00
Space group R-3m (No. 166, hexagonal axes)
Asymmetric unit:
Sr 0.0000 0.0000 0.1050 (multiplicity 6)
Tl 0.0000 0.0000 0.3326 (multiplicity 6)
S 0.0000 0.0000 0.2199 (multiplicity 6)